Below is an optimized crystal structure of HfZrNiMo, with properties calculated at the GGA-PBE level.

Cell: 4.6189 4.6189 4.6189 Å, 60.00 60.00 60.00°
With the nearest neighbours (Å) after each atom.
Fractional positions:
Zr  0.0000  0.0000  0.0000  4 Ni 2.83, 4 Mo 2.83
Ni  0.2500  0.2500  0.2500  4 Hf 2.83, 4 Zr 2.83
Hf  0.5000  0.5000  0.5000  4 Mo 2.83, 4 Ni 2.83
Mo  0.7500  0.7500  0.7500  4 Zr 2.83, 4 Hf 2.83

Properties
Its formation energy is -87 kJ/mol of formula units. The crystal system is cubic. Its symmetry is F-43m (216).